<1>
Here is an optimized crystal structure of Sc2TaFe from the Alexandria database. Energies are from PBE.

## Properties
symmetry: R3m

Geometry as POSCAR:
```
Sc2TaFe
1.0
1.557 0.899 9.150
-1.557 0.899 9.150
0.000 -1.798 9.150
Sc Ta Fe
2 1 1
Cartesian
0.000 0.000 0.000
0.000 0.000 6.224
0.000 0.000 12.919
0.000 0.000 20.294
```

---

<2>
Here is an optimized crystal structure of Sc2TaFe from the Alexandria database. Energies are from PBE.

## Properties
symmetry: R-3m

Geometry as POSCAR:
```
Sc2TaFe
1.0
1.529 0.883 8.927
-1.529 0.883 8.927
0.000 -1.766 8.927
Sc Ta Fe
2 1 1
Cartesian
0.000 0.000 6.374
0.000 0.000 20.408
0.000 0.000 0.000
0.000 0.000 13.391
```

---

Which of them is most stable? Easy: <1>.

---

<1>
Here is an optimized crystal structure of Sc2TaFe from the Alexandria database. Energies are from PBE.

## Properties
symmetry: R-3m

Geometry as POSCAR:
```
Sc2TaFe
1.0
1.505 0.869 9.431
-1.505 0.869 9.431
0.000 -1.738 9.431
Sc Ta Fe
2 1 1
Cartesian
0.000 0.000 2.232
0.000 0.000 26.061
0.000 0.000 14.146
0.000 0.000 0.000
```

---

<2>
Here is an optimized crystal structure of Sc2TaFe from the Alexandria database. Energies are from PBE.

## Properties
symmetry: P4/mmm

Geometry as POSCAR:
```
Sc2TaFe
1.0
3.086 0.000 0.000
0.000 3.086 0.000
0.000 0.000 7.458
Sc Ta Fe
2 1 1
Cartesian
0.000 0.000 1.530
0.000 0.000 5.927
1.543 1.543 3.729
1.543 1.543 0.000
```

---

Which of them is most stable? Easy: <2>.

---

<1>
Here is an optimized crystal structure of ScTa2Fe2 from the Alexandria database. Energies are from PBE.

## Properties
symmetry: P4/mbm

Geometry as POSCAR:
```
ScTa2Fe2
1.0
7.256 0.000 0.000
0.000 7.256 0.000
0.000 0.000 3.009
Sc Ta Fe
2 4 4
Cartesian
0.000 0.000 0.000
3.628 3.628 0.000
1.129 2.500 1.504
2.500 6.128 1.504
4.757 1.129 1.504
6.128 4.757 1.504
0.972 4.600 0.000
2.656 0.972 0.000
4.600 6.284 0.000
6.284 2.656 0.000
```

---

<2>
Here is an optimized crystal structure of ScTa2Fe2 from the Alexandria database. Energies are from PBE.

## Properties
symmetry: P4/mbm

Geometry as POSCAR:
```
ScTa2Fe2
1.0
7.458 0.000 0.000
0.000 7.458 0.000
0.000 0.000 2.844
Sc Ta Fe
2 4 4
Cartesian
0.000 0.000 0.000
3.729 3.729 0.000
1.095 2.633 0.000
2.633 6.362 0.000
4.824 1.095 0.000
6.362 4.824 0.000
1.092 4.821 1.422
2.637 1.092 1.422
4.821 6.366 1.422
6.366 2.637 1.422
```

---

Which of them is most stable? Easy: <1>.

---

<1>
Here is an optimized crystal structure of ScFeTc from the Alexandria database. Energies are from PBE.

## Properties
symmetry: P3m1

Geometry as POSCAR:
```
ScFeTc
1.0
4.236 0.000 0.000
-2.118 3.669 0.000
0.000 0.000 2.953
Sc Fe Tc
1 1 1
Cartesian
0.000 0.000 0.000
0.000 2.446 1.694
2.118 1.223 1.263
```

---

<2>
Here is an optimized crystal structure of ScFeTc from the Alexandria database. Energies are from PBE.

## Properties
symmetry: P3m1

Geometry as POSCAR:
```
ScFeTc
1.0
2.900 0.000 0.000
-1.450 2.512 0.000
0.000 0.000 6.448
Sc Fe Tc
1 1 1
Cartesian
0.000 0.000 0.000
0.000 1.674 4.235
1.450 0.837 2.344
```

---

<3>
Here is an optimized crystal structure of ScFeTc from the Alexandria database. Energies are from PBE.

## Properties
symmetry: Imma

Geometry as POSCAR:
```
ScFeTc
1.0
-2.521 2.527 3.688
2.521 -2.527 3.688
2.521 2.527 -3.688
Sc Fe Tc
2 2 2
Cartesian
0.000 1.264 0.921
2.521 1.264 2.766
2.521 0.000 0.000
0.000 0.000 3.688
1.260 1.264 -1.844
1.260 -1.264 1.844
```

---

<4>
Here is an optimized crystal structure of ScFeTc from the Alexandria database. Energies are from PBE.

## Properties
symmetry: Fmmm

Geometry as POSCAR:
```
ScFeTc
1.0
0.000 4.245 4.300
2.459 0.000 4.300
2.459 4.245 0.000
Sc Fe Tc
2 2 2
Cartesian
2.459 1.386 4.300
2.459 7.103 4.300
1.229 2.122 2.150
3.688 6.367 6.449
2.459 4.245 3.005
2.459 4.245 5.594
```

---

Which of them is most stable? Easy: <3>.

---

<1>
Here is an optimized crystal structure of Sc4FeTc from the Alexandria database. Energies are from PBE.

## Properties
symmetry: F-43m

Geometry as POSCAR:
```
Sc4FeTc
1.0
0.000 3.882 3.882
3.882 0.000 3.882
3.882 3.882 0.000
Sc Fe Tc
4 1 1
Cartesian
0.968 0.968 0.968
2.914 2.914 0.968
2.914 0.968 2.914
0.968 2.914 2.914
3.882 3.882 3.882
5.823 5.823 5.823
```

---

<2>
Here is an optimized crystal structure of Sc4FeTc from the Alexandria database. Energies are from PBE.

## Properties
symmetry: P4/mmm

Geometry as POSCAR:
```
Sc4FeTc
1.0
3.220 0.000 0.000
0.000 3.220 0.000
0.000 0.000 11.277
Sc Fe Tc
4 1 1
Cartesian
0.000 0.000 1.472
0.000 0.000 9.805
1.610 1.610 4.097
1.610 1.610 7.180
1.610 1.610 0.000
0.000 0.000 5.639
```

---

Which of them is most stable? Easy: <2>.

---

<1>
Here is an optimized crystal structure of Th2Sc3Fe2 from the Alexandria database. Energies are from PBE.

## Properties
symmetry: P-1

Geometry as POSCAR:
```
Th2Sc3Fe2
1.0
3.636 0.000 0.000
1.808 6.049 0.000
1.803 1.879 7.452
Th Sc Fe
2 3 2
Cartesian
0.915 1.399 0.653
6.331 6.529 6.798
2.713 4.308 2.381
2.719 0.940 3.726
4.533 3.620 5.071
2.713 5.467 4.742
4.534 2.461 2.710
```

---

<2>
Here is an optimized crystal structure of Th2Sc3Fe2 from the Alexandria database. Energies are from PBE.

## Properties
symmetry: C2/m

Geometry as POSCAR:
```
Th2Sc3Fe2
1.0
5.670 -1.796 0.000
5.670 1.796 0.000
-3.272 0.000 7.680
Th Sc Fe
2 3 2
Cartesian
0.848 0.000 2.240
7.220 0.000 5.439
3.963 0.000 0.660
4.034 0.000 3.840
4.105 0.000 7.019
-0.240 0.000 5.552
8.308 0.000 2.127
```

---

Which of them is most stable? Easy: <2>.

---

<1>
Here is an optimized crystal structure of ScTi3Fe from the Alexandria database. Energies are from PBE.

## Properties
symmetry: Pm-3m

Geometry as POSCAR:
```
ScTi3Fe
1.0
4.509 0.000 0.000
0.000 4.509 0.000
0.000 0.000 4.509
Sc Ti Fe
1 3 1
Cartesian
0.000 0.000 0.000
0.000 0.000 2.255
0.000 2.255 0.000
2.255 0.000 0.000
2.255 2.255 2.255
```

---

<2>
Here is an optimized crystal structure of ScTi3Fe from the Alexandria database. Energies are from PBE.

## Properties
symmetry: Pm-3m

Geometry as POSCAR:
```
ScTi3Fe
1.0
4.549 0.000 0.000
0.000 4.549 0.000
0.000 0.000 4.549
Sc Ti Fe
1 3 1
Cartesian
0.000 0.000 0.000
0.000 2.275 2.275
2.275 0.000 2.275
2.275 2.275 0.000
2.275 2.275 2.275
```

---

Which of them is most stable? Easy: <2>.

---

<1>
Here is an optimized crystal structure of Sc2Ti2Fe from the Alexandria database. Energies are from PBE.

## Properties
symmetry: P4/mbm

Geometry as POSCAR:
```
Sc2Ti2Fe
1.0
6.105 0.000 0.000
0.000 6.105 0.000
0.000 0.000 4.908
Sc Ti Fe
4 4 2
Cartesian
1.047 2.006 0.000
2.006 5.058 0.000
4.100 1.047 0.000
5.058 4.100 0.000
0.930 3.983 2.454
2.122 0.930 2.454
3.983 5.175 2.454
5.175 2.122 2.454
0.000 0.000 2.454
3.053 3.053 2.454
```

---

<2>
Here is an optimized crystal structure of Sc2Ti2Fe from the Alexandria database. Energies are from PBE.

## Properties
symmetry: P4/mbm

Geometry as POSCAR:
```
Sc2Ti2Fe
1.0
6.222 0.000 0.000
0.000 6.222 0.000
0.000 0.000 4.795
Sc Ti Fe
4 4 2
Cartesian
0.973 2.138 0.000
2.138 5.249 0.000
4.085 0.973 0.000
5.249 4.085 0.000
0.999 4.110 2.398
2.112 0.999 2.398
4.110 5.223 2.398
5.223 2.112 2.398
0.000 0.000 0.000
3.111 3.111 0.000
```

---

Which of them is most stable? Easy: <1>.

---

<1>
Here is an optimized crystal structure of ScTi2Fe from the Alexandria database. Energies are from PBE.

## Properties
symmetry: I-42d

Geometry as POSCAR:
```
ScTi2Fe
1.0
-3.564 3.564 2.742
3.564 -3.564 2.742
3.564 3.564 -2.742
Sc Ti Fe
2 4 2
Cartesian
0.000 0.000 0.000
0.000 3.564 1.371
1.782 2.241 -0.685
4.887 1.782 0.685
1.782 1.323 2.056
-1.323 1.782 3.427
3.564 0.000 1.371
0.000 0.000 2.742
```

---

<2>
Here is an optimized crystal structure of ScTi2Fe from the Alexandria database. Energies are from PBE.

## Properties
symmetry: P4/mmm

Geometry as POSCAR:
```
ScTi2Fe
1.0
3.012 0.000 0.000
0.000 3.012 0.000
0.000 0.000 7.343
Sc Ti Fe
1 2 1
Cartesian
0.000 0.000 0.000
1.506 1.506 2.237
1.506 1.506 5.106
0.000 0.000 3.672
```

---

Which of them is most stable? Easy: <2>.

---

<1>
Here is an optimized crystal structure of Sc3TiFe from the Alexandria database. Energies are from PBE.

## Properties
symmetry: Pm-3m

Geometry as POSCAR:
```
Sc3TiFe
1.0
4.787 0.000 0.000
0.000 4.787 0.000
0.000 0.000 4.787
Sc Ti Fe
3 1 1
Cartesian
0.000 0.000 2.393
0.000 2.393 0.000
2.393 0.000 0.000
2.393 2.393 2.393
0.000 0.000 0.000
```

---

<2>
Here is an optimized crystal structure of Sc3TiFe from the Alexandria database. Energies are from PBE.

## Properties
symmetry: Pm-3m

Geometry as POSCAR:
```
Sc3TiFe
1.0
4.800 0.000 0.000
0.000 4.800 0.000
0.000 0.000 4.800
Sc Ti Fe
3 1 1
Cartesian
0.000 0.000 2.400
0.000 2.400 0.000
2.400 0.000 0.000
0.000 0.000 0.000
2.400 2.400 2.400
```

---

Which of them is most stable? Easy: <1>.

---

<1>
Here is an optimized crystal structure of Sc4TlFe from the Alexandria database. Energies are from PBE.

## Properties
symmetry: F-43m

Geometry as POSCAR:
```
Sc4TlFe
1.0
0.000 4.055 4.055
4.055 0.000 4.055
4.055 4.055 0.000
Sc Tl Fe
4 1 1
Cartesian
1.017 1.017 1.017
3.038 3.038 1.017
3.038 1.017 3.038
1.017 3.038 3.038
6.082 6.082 6.082
4.055 4.055 4.055
```

---

<2>
Here is an optimized crystal structure of Sc4TlFe from the Alexandria database. Energies are from PBE.

## Properties
symmetry: C2/c

Geometry as POSCAR:
```
Sc4TlFe
1.0
4.119 -6.068 0.000
4.119 6.068 0.000
-1.638 0.000 5.363
Sc Tl Fe
8 2 2
Cartesian
1.677 4.116 5.103
1.225 0.918 3.309
4.104 4.116 2.941
2.044 -0.918 0.627
4.555 0.918 4.735
2.496 -4.116 2.421
5.374 -0.918 2.054
4.923 -4.116 0.260
3.709 1.581 1.341
2.890 -1.581 4.022
2.890 6.053 4.022
3.709 -6.053 1.341
```

---

Which of them is most stable? Easy: <2>.

---

<1>
Here is an optimized crystal structure of Tm2ScFe from the Alexandria database. Energies are from PBE.

## Properties
symmetry: Pnma

Geometry as POSCAR:
```
Tm2ScFe
1.0
6.850 0.000 0.000
0.000 8.813 0.000
0.000 0.000 6.045
Tm Sc Fe
8 4 4
Cartesian
1.209 0.563 1.046
1.209 3.844 1.046
2.216 4.969 4.069
2.216 8.250 4.069
4.634 0.563 1.976
4.634 3.844 1.976
5.641 4.969 4.998
5.641 8.250 4.998
0.334 2.203 3.854
3.091 6.610 0.831
3.759 2.203 5.214
6.516 6.610 2.191
0.797 6.610 5.948
2.628 2.203 2.926
4.222 6.610 3.119
6.052 2.203 0.097
```

---

<2>
Here is an optimized crystal structure of Tm2ScFe from the Alexandria database. Energies are from PBE.

## Properties
symmetry: R-3m

Geometry as POSCAR:
```
Tm2ScFe
1.0
1.624 0.938 10.667
-1.624 0.938 10.667
0.000 -1.875 10.667
Tm Sc Fe
2 1 1
Cartesian
0.000 0.000 2.617
0.000 0.000 29.383
0.000 0.000 16.000
0.000 0.000 0.000
```

---

Which of them is most stable? Easy: <1>.